First-principles (PBE+U) data for a geometry-optimized Cr3FeP6O24 structure, as listed in Alexandria.

```
34
Lattice="-3.148 8.175 0.538 -4.512 3.641 -6.589 -8.608 1.587 0.637" Properties=species:S:1:pos:R:3 pbc="T T T"
Cr -2.326 1.916 -0.774
Cr -10.439 8.600 -3.474
Cr -5.830 4.804 -1.940
O -11.679 4.653 -3.970
O -7.231 9.499 -0.799
O -4.283 4.529 -3.023
O -9.385 9.245 0.507
O -9.267 8.735 -1.951
O -5.436 8.558 -3.824
O -4.783 4.999 -0.357
O -10.552 6.717 -3.086
O -6.866 4.226 -5.938
O -8.620 6.528 0.715
O -10.849 4.792 -1.582
O -4.640 8.763 -1.394
O -11.554 8.340 -5.027
O -5.696 6.693 -2.254
O -6.938 4.681 -3.504
O -6.056 2.931 -1.652
O -8.870 8.184 -4.510
O -11.954 8.944 -2.329
O -7.417 5.145 -0.914
O -9.012 3.919 -4.567
O -7.608 6.873 -6.168
O -9.154 4.033 0.457
O -10.185 10.475 -3.856
O -7.155 9.353 -5.927
P -11.506 5.551 -2.747
P -8.222 8.260 -5.910
P -7.496 3.753 -4.615
P -4.762 7.869 -2.643
P -8.067 5.123 0.494
P -8.761 9.660 -0.823
Fe -13.954 11.497 -4.643
```

Computed properties:
VASP energy: -7.074 eV per atom
calculated volume: 13.53 Å³/atom